Below is an optimized crystal structure of CoSnSeN2, with properties calculated at the GGA-PBE level.

Unit cell a=4.045 b=4.045 c=5.697 alpha=90.00 beta=90.00 gamma=90.00
Space group P4/mmm (No. 123)
Asymmetric unit:
Co 0.000 0.000 0.000
Sn 0.500 0.500 0.500
Se 0.500 0.500 0.000
N 0.000 0.500 0.500

Its uncorrected formation energy is 1.531 eV/atom. The density of states at the Fermi level comes out at 5.88 states/eV per cell. Its energy above the most stable polymorph in this dataset is 2.91 eV per formula unit.